Ac3SbS2: optimized geometry, PBE.

The space group is Immm (No. 71) and the conventional cell measures 4.483, 6.382 and 13.388 Å, with angles of 90.00, 90.00 and 90.00 degrees. The inequivalent atoms are Ac at (0.000, 0.000, 0.000), Ac at (0.000, 0.000, 0.321), Sb at (0.000, 0.500, 0.000) and S at (0.000, 0.500, 0.336).

The distance to the lowest polymorph of the same formula is 0.000 eV/atom. For the uncorrected energy, the calculation gives -5.8203 eV/atom. As for the formation energy (no corrections): -1.703 eV/atom. The calculation puts the total moment at 0.00 μB per cell.

Mg2ZnPb: optimized geometry, PBE.

The space group is Cm (No. 8) and the conventional cell measures 9.876, 5.130 and 7.435 Å, with angles of 90.00, 100.07 and 90.00 degrees. The inequivalent atoms are Mg at (0.000, 0.000, 0.000), Mg at (0.056, 0.500, 0.676), Mg at (0.201, 0.500, 0.063), Mg at (0.363, 0.000, 0.246), Zn at (0.121, 0.245, 0.356), Pb at (0.266, 0.000, 0.814) and Pb at (0.389, 0.500, 0.535).

Its formation energy from the elements is 0.00 eV per atom. For the uncorrected energy, the calculation gives -2.0425 eV/atom. The calculation puts the total moment at 0.00 μB per cell.

La3Ga2Pd3: optimized geometry, PBE.

The space group is Pnma (No. 62) and the conventional cell measures 8.003, 15.765 and 5.955 Å, with angles of 90.00, 90.00 and 90.00 degrees. The inequivalent atoms are La at (0.035, 0.105, 0.152), La at (0.167, 0.250, 0.621), Ga at (0.121, 0.602, 0.350), Pd at (0.170, 0.035, 0.588) and Pd at (0.187, 0.750, 0.595).

Its formation energy from the elements is -0.83 eV per atom. The distance to the lowest polymorph of the same formula is 0.000 eV/atom. For the uncorrected energy, the calculation gives -5.3782 eV/atom. The calculation puts the total moment at 0.00 μB per cell.

LaZnCu2Si: optimized geometry, PBE.

The space group is P4/mmm (No. 123) and the conventional cell measures 4.509, 4.509 and 5.708 Å, with angles of 90.00, 90.00 and 90.00 degrees. The inequivalent atoms are La at (0.000, 0.000, 0.000), Zn at (0.500, 0.500, 0.000), Cu at (0.000, 0.500, 0.500) and Si at (0.000, 0.000, 0.500).

For the uncorrected energy, the calculation gives -3.7859 eV/atom. As for the formation energy (no corrections): 0.177 eV/atom. The calculation puts the total moment at 0.00 μB per cell.

MgCr2Cu: optimized geometry, PBE.

The space group is Cmm2 (No. 35) and the conventional cell measures 2.961, 4.342 and 8.391 Å, with angles of 90.00, 90.00 and 90.00 degrees. The inequivalent atoms are Mg at (0.000, 0.000, 0.000), Cr at (0.000, 0.000, 0.512), Cr at (0.000, 0.500, 0.720) and Cu at (0.000, 0.500, 0.265).

Its formation energy from the elements is 0.28 eV per atom. For the uncorrected energy, the calculation gives -5.9557 eV/atom. The calculation puts the total moment at 0.00 μB per cell.

LiCa2Mo: optimized geometry, PBE.

The space group is C2/m (No. 12) and the conventional cell measures 10.042, 3.032 and 6.576 Å, with angles of 90.00, 96.10 and 90.00 degrees. The inequivalent atoms are Li at (0.000, 0.000, 0.000), Ca at (0.241, 0.000, 0.731) and Mo at (0.000, 0.500, 0.500).

Its formation energy from the elements is 0.74 eV per atom. The distance to the lowest polymorph of the same formula is 0.173 eV/atom. For the uncorrected energy, the calculation gives -3.4487 eV/atom. The calculation puts the total moment at 1.14 μB per cell.

> What is the total moment in the first record?

0.00 μB per cell